Entry from Alexandria via LeMat-Bulk: a relaxed structure of Na3CoO3 (PBE+U).

Computed properties:
As for the energy: -4.71 eV per atom. The value obtained for the relative energy among the computed polymorphs is 32 meV per atom.

a b c (Å): 6.964 9.719 6.432
angles (deg): 90.00 115.64 90.00
Space group P2_1/c (No. 14)
One atom of each set of equivalent atoms:
Na1 0.009 0.230 0.441
Na2 0.244 0.552 0.487
Na3 0.474 0.222 0.191
Co1 0.265 0.513 0.959
O1 0.166 0.105 0.222
O2 0.258 0.695 0.919
O3 0.351 0.058 0.739

=====

Entry from Alexandria via LeMat-Bulk: a relaxed structure of Na2Co3O6 (PBE+U).

Computed properties:
As for the energy: -5.52 eV per atom. The value obtained for the relative energy among the computed polymorphs is 0 meV per atom.

a b c (Å): 4.953 8.582 5.669
angles (deg): 90.00 107.27 90.00
Space group C2/m (No. 12)
One atom of each set of equivalent atoms:
Na1 0.000 0.168 0.000
Co1 0.000 0.000 0.500
Co2 0.000 0.334 0.500
O1 0.225 0.166 0.681
O2 0.235 0.500 0.682

=====

Entry from Alexandria via LeMat-Bulk: a relaxed structure of NaCoO2 (PBE+U).

Computed properties:
As for the energy: -5.29 eV per atom.

a b c (Å): 4.823 2.848 6.314
angles (deg): 90.00 90.77 90.00
Space group P2_1/m (No. 11)
One atom of each set of equivalent atoms:
Na1 0.245 0.250 0.373
Co1 0.272 0.250 0.876
O1 0.250 0.750 0.675
O2 0.270 0.750 0.079

=====

Entry from Alexandria via LeMat-Bulk: a relaxed structure of Na8CoO6 (PBE+U).

Computed properties:
As for the energy: -4.28 eV per atom.

a b c (Å): 6.3538 6.3538 12.7484
angles (deg): 90.00 90.00 120.00
Space group P6_3cm (No. 185)
One atom of each set of equivalent atoms:
Na1 0.0000 0.2954 0.0000
Na2 0.0000 0.3893 0.3530
Na3 0.3333 0.6667 0.1421
Co1 0.0000 0.0000 0.2267
O1 0.0000 0.0000 0.3729
O2 0.0000 0.2717 0.1820
O3 0.3333 0.6667 0.4514